1.
# PBEsol Ni3IrC, relaxed
# Energy of formation from the pure elements ... 0.33 eV per atom
# DOS at the Fermi energy ... 1.333 states/eV per atom
data_Ni3IrC
_chemical_formula_sum 'Ni3 Ir1 C1'
_cell_length_a 3.7355
_cell_length_b 3.7355
_cell_length_c 3.7355
_cell_angle_alpha 90.00
_cell_angle_beta 90.00
_cell_angle_gamma 90.00
_symmetry_space_group_name_H-M 'P m -3 m'
_symmetry_Int_Tables_number 221
_symmetry_space_group_name_Hall '-P 4 2 3'
loop_
_atom_site_label
_atom_site_type_symbol
_atom_site_fract_x
_atom_site_fract_y
_atom_site_fract_z
Ni1 Ni 0.0000 0.0000 0.5000
Ir1 Ir 0.5000 0.5000 0.5000
C1 C 0.0000 0.0000 0.0000

---

2.
# PBEsol Mo3Pt2N, relaxed
# E_form (uncorrected) ... -0.479 eV/atom
# DOS at the Fermi energy ... 0.289 states/eV per atom
data_Mo3Pt2N
_chemical_formula_sum 'Mo12 Pt8 N4'
_cell_length_a 6.8108
_cell_length_b 6.8108
_cell_length_c 6.8108
_cell_angle_alpha 90.00
_cell_angle_beta 90.00
_cell_angle_gamma 90.00
_symmetry_space_group_name_H-M 'P 41 3 2'
_symmetry_Int_Tables_number 213
_symmetry_space_group_name_Hall 'P 4bd 2ab 3'
loop_
_atom_site_label
_atom_site_type_symbol
_atom_site_fract_x
_atom_site_fract_y
_atom_site_fract_z
Mo1 Mo 0.0493 0.1250 0.7993
Pt1 Pt 0.0571 0.9429 0.4429
N1 N 0.1250 0.3750 0.6250

---

3.
# PBEsol La2NiRh, relaxed
# Energy of formation from the pure elements ... -0.49 eV per atom
# DOS at the Fermi energy ... 0.577 states/eV per atom
data_La2NiRh
_chemical_formula_sum 'La4 Ni2 Rh2'
_cell_length_a 4.1508
_cell_length_b 3.9056
_cell_length_c 10.9390
_cell_angle_alpha 90.00
_cell_angle_beta 90.00
_cell_angle_gamma 90.00
_symmetry_space_group_name_H-M 'A m m 2'
_symmetry_Int_Tables_number 38
loop_
_symmetry_equiv_pos_as_xyz
'x,y,z'
'-x,-y,z'
'-x,y,z'
'x,-y,z'
'x,y+1/2,z+1/2'
'-x,-y+1/2,z+1/2'
'-x,y+1/2,z+1/2'
'x,-y+1/2,z+1/2'
loop_
_atom_site_label
_atom_site_type_symbol
_atom_site_fract_x
_atom_site_fract_y
_atom_site_fract_z
La1 La 0.0000 0.0000 0.0000
La2 La 0.5000 0.0000 0.2728
Ni1 Ni 0.0000 0.0000 0.7169
Rh1 Rh 0.5000 0.0000 0.5508

---

4.
# PBEsol Mg2ZnPb, relaxed
# Energy of formation from the pure elements ... 0.00 eV per atom
# DOS at the Fermi energy ... 0.405 states/eV per atom
data_Mg2ZnPb
_chemical_formula_sum 'Mg4 Zn2 Pb2'
_cell_length_a 4.3218
_cell_length_b 4.3218
_cell_length_c 9.2249
_cell_angle_alpha 90.00
_cell_angle_beta 90.00
_cell_angle_gamma 90.00
_symmetry_space_group_name_H-M 'I -4 m 2'
_symmetry_Int_Tables_number 119
_symmetry_space_group_name_Hall 'I -4 -2'
loop_
_atom_site_label
_atom_site_type_symbol
_atom_site_fract_x
_atom_site_fract_y
_atom_site_fract_z
Mg1 Mg 0.0000 0.0000 0.0000
Mg2 Mg 0.0000 0.5000 0.2500
Zn1 Zn 0.0000 0.5000 0.7500
Pb1 Pb 0.0000 0.0000 0.5000

---

One value per record, in order, for final energy: -7.260; -10.105; -6.742; -2.254 eV/atom.